Density functional theory data (PBE) for a geometry-optimized Sr2MgTa structure.

a b c (Å): 11.5037 3.2775 6.3955
angles (deg): 90.00 97.68 90.00
Closest atoms and distances in Å follow each position.
Space group C2/m (No. 12)
Asymmetric unit:
1 Sr 0.2438 0.0000 0.2381 [4 per cell]  4 Sr 3.28-3.48, 3 Ta 3.42-3.49, 3 Mg 3.45-3.59
2 Mg 0.0000 0.0000 0.5000 [2 per cell]  2 Mg 3.28, 6 Sr 3.45-3.59, 4 Ta 3.59
3 Ta 0.0000 0.5000 0.0000 [2 per cell]  2 Ta 3.28, 6 Sr 3.42-3.49, 4 Mg 3.59

Values from the calculation:
* total DFT energy (no corrections): -3.337 eV per atom
* crystal system: monoclinic
* density of states at the Fermi level: 8.4 states/eV per cell
* energy of formation from the pure elements: 0.8653 eV per atom